A relaxed ErTlPdRh crystal. Source: Alexandria via LeMat-Bulk, functional PBE.

```
ErTlPdRh
1.0
0.000 3.369 3.369
3.369 0.000 3.369
3.369 3.369 0.000
Er Tl Pd Rh
1 1 1 1
Direct
0.000 0.000 0.000
0.500 0.500 0.500
0.250 0.250 0.250
0.750 0.750 0.750
```

Output
* DOS at the Fermi energy: 2.8 states/eV/f.u.
* DFT total energy: -5.4571 eV/atom
* formation energy from the elements: -2.36 eV/f.u.
* space-group type: F-43m

A relaxed Er5Tl2PdRh2 crystal. Source: Alexandria via LeMat-Bulk, functional PBE.

```
Er5Tl2PdRh2
1.0
11.601 0.000 0.000
0.000 11.601 0.000
0.000 0.000 3.551
Er Tl Pd Rh
10 4 2 4
Direct
0.000 0.500 0.000
0.073 0.197 0.000
0.197 0.927 0.000
0.303 0.427 0.000
0.427 0.697 0.000
0.500 0.000 0.000
0.573 0.303 0.000
0.697 0.573 0.000
0.803 0.073 0.000
0.927 0.803 0.000
0.173 0.673 0.500
0.327 0.173 0.500
0.673 0.827 0.500
0.827 0.327 0.500
0.000 0.000 0.500
0.500 0.500 0.500
0.134 0.366 0.500
0.366 0.866 0.500
0.634 0.134 0.500
0.866 0.634 0.500
```

Output
* DOS at the Fermi energy: 4.9 states/eV/f.u.
* DFT total energy: -5.3956 eV/atom
* formation energy from the elements: -6.51 eV/f.u.
* space-group type: P4/mbm

A relaxed ErTmPdRh crystal. Source: Alexandria via LeMat-Bulk, functional PBE.

```
ErTmPdRh
1.0
3.421 0.000 0.000
0.000 3.421 0.000
0.000 0.000 6.877
Er Tm Pd Rh
1 1 1 1
Direct
0.000 0.000 0.000
0.000 0.000 0.482
0.500 0.500 0.739
0.500 0.500 0.243
```

Output
* DOS at the Fermi energy: 1.6 states/eV/f.u.
* DFT total energy: -6.3503 eV/atom
* formation energy from the elements: -3.82 eV/f.u.
* energy above the lowest structure with this stoichiometry: 0.0000 eV per atom
* space-group type: P4mm

A relaxed ErTmPdRh crystal. Source: Alexandria via LeMat-Bulk, functional PBE.

```
ErTmPdRh
1.0
0.000 3.427 3.427
3.427 0.000 3.427
3.427 3.427 0.000
Er Tm Pd Rh
1 1 1 1
Direct
0.000 0.000 0.000
0.500 0.500 0.500
0.750 0.750 0.750
0.250 0.250 0.250
```

Output
* DOS at the Fermi energy: 1.6 states/eV/f.u.
* DFT total energy: -6.3374 eV/atom
* formation energy from the elements: -3.77 eV/f.u.
* energy above the lowest structure with this stoichiometry: 0.0128 eV per atom
* space-group type: F-43m

A relaxed ErVPdRh crystal. Source: Alexandria via LeMat-Bulk, functional PBE.

```
ErVPdRh
1.0
0.000 3.269 3.269
3.269 0.000 3.269
3.269 3.269 0.000
Er V Pd Rh
1 1 1 1
Direct
0.000 0.000 0.000
0.500 0.500 0.500
0.250 0.250 0.250
0.750 0.750 0.750
```

Output
* DOS at the Fermi energy: 4.9 states/eV/f.u.
* DFT total energy: -6.9610 eV/atom
* formation energy from the elements: -1.62 eV/f.u.
* space-group type: F-43m

A relaxed YErPdRh crystal. Source: Alexandria via LeMat-Bulk, functional PBE.

```
YErPdRh
1.0
0.000 3.457 3.457
3.457 0.000 3.457
3.457 3.457 0.000
Y Er Pd Rh
1 1 1 1
Direct
0.000 0.000 0.000
0.500 0.500 0.500
0.250 0.250 0.250
0.750 0.750 0.750
```

Output
* DOS at the Fermi energy: 1.7 states/eV/f.u.
* DFT total energy: -6.7876 eV/atom
* formation energy from the elements: -3.58 eV/f.u.
* space-group type: F-43m

A relaxed Er2Zn5Pd2Rh crystal. Source: Alexandria via LeMat-Bulk, functional PBE.

```
Er2Zn5Pd2Rh
1.0
9.429 0.000 0.000
0.000 9.429 0.000
0.000 0.000 3.943
Er Zn Pd Rh
4 10 4 2
Direct
0.179 0.321 0.000
0.321 0.821 0.000
0.679 0.179 0.000
0.821 0.679 0.000
0.000 0.500 0.500
0.054 0.809 0.500
0.191 0.054 0.500
0.309 0.554 0.500
0.446 0.309 0.500
0.500 0.000 0.500
0.554 0.691 0.500
0.691 0.446 0.500
0.809 0.946 0.500
0.946 0.191 0.500
0.119 0.619 0.000
0.381 0.119 0.000
0.619 0.881 0.000
0.881 0.381 0.000
0.000 0.000 0.000
0.500 0.500 0.000
```

Output
* DOS at the Fermi energy: 4.5 states/eV/f.u.
* DFT total energy: -3.8267 eV/atom
* formation energy from the elements: -5.03 eV/f.u.
* space-group type: P4/mbm

A relaxed Er3Zn2PdRh3 crystal. Source: Alexandria via LeMat-Bulk, functional PBE.

```
Er3Zn2PdRh3
1.0
7.762 0.000 0.000
-3.881 6.722 0.000
0.000 0.000 3.157
Er Zn Pd Rh
3 2 1 3
Direct
0.000 0.711 0.000
0.289 0.289 0.000
0.711 0.000 0.000
0.333 0.667 0.000
0.667 0.333 0.000
0.000 0.000 0.500
0.000 0.394 0.500
0.394 0.000 0.500
0.606 0.606 0.500
```

Output
* DOS at the Fermi energy: 3.4 states/eV/f.u.
* DFT total energy: -5.3690 eV/atom
* formation energy from the elements: -4.84 eV/f.u.
* space-group type: P-62m

A relaxed ErZrPdRh crystal. Source: Alexandria via LeMat-Bulk, functional PBE.

```
ErZrPdRh
1.0
4.448 0.000 0.000
0.000 1.726 5.177
0.000 -1.726 5.177
Er Zr Pd Rh
1 1 1 1
Direct
0.000 0.000 0.000
0.500 0.279 0.279
0.500 0.556 0.556
0.000 0.736 0.736
```

Output
* DOS at the Fermi energy: 2.9 states/eV/f.u.
* DFT total energy: -7.2167 eV/atom
* formation energy from the elements: -3.21 eV/f.u.
* energy above the lowest structure with this stoichiometry: 0.0000 eV per atom
* space-group type: Amm2

A relaxed ErZrPdRh crystal. Source: Alexandria via LeMat-Bulk, functional PBE.

```
ErZrPdRh
1.0
0.000 3.381 3.381
3.381 0.000 3.381
3.381 3.381 0.000
Er Zr Pd Rh
1 1 1 1
Direct
0.000 0.000 0.000
0.500 0.500 0.500
0.250 0.250 0.250
0.750 0.750 0.750
```

Output
* DOS at the Fermi energy: 5.6 states/eV/f.u.
* DFT total energy: -7.1734 eV/atom
* formation energy from the elements: -3.04 eV/f.u.
* energy above the lowest structure with this stoichiometry: 0.0433 eV per atom
* space-group type: F-43m

A relaxed Er4PdRu3 crystal. Source: Alexandria via LeMat-Bulk, functional PBE.

```
Er4PdRu3
1.0
4.800 0.000 0.000
0.000 4.800 0.000
0.000 0.000 6.768
Er Pd Ru
4 1 3
Direct
0.000 0.500 0.244
0.000 0.500 0.756
0.500 0.000 0.244
0.500 0.000 0.756
0.000 0.000 0.500
0.000 0.000 0.000
0.500 0.500 0.000
0.500 0.500 0.500
```

Output
* DOS at the Fermi energy: 3.6 states/eV/f.u.
* DFT total energy: -6.9742 eV/atom
* formation energy from the elements: -4.52 eV/f.u.
* space-group type: P4/mmm

A relaxed Er4Pd3Ru crystal. Source: Alexandria via LeMat-Bulk, functional PBE.

```
Er4Pd3Ru
1.0
3.423 0.000 0.000
0.000 3.423 0.000
0.000 0.000 13.989
Er Pd Ru
4 3 1
Direct
0.000 0.000 0.118
0.000 0.000 0.373
0.000 0.000 0.627
0.000 0.000 0.882
0.500 0.500 0.248
0.500 0.500 0.500
0.500 0.500 0.752
0.500 0.500 0.000
```

Output
* DOS at the Fermi energy: 3.2 states/eV/f.u.
* DFT total energy: -6.2232 eV/atom
* formation energy from the elements: -6.68 eV/f.u.
* space-group type: P4/mmm